First-principles (GGA+U) data for crystalline ZnFeAs2O at its relaxed geometry, as listed in Alexandria.

Output
Total DFT energy (no corrections) ... -4.116 eV/atom
Total moment ... 3.9 μB/f.u.
SG ... P4/mmm
Crystal system ... tetragonal
ρ ... 5.60 Mg/m³

Unit cell a=4.664 b=3.911 c=4.664 alpha=90.00 beta=90.00 gamma=90.00
Site moments in Bohr magnetons follow the coordinates.
Fractional positions:
As: 0.000 0.000 0.500  0.03
As: 0.500 0.000 0.000  0.01
Zn: 0.500 0.500 0.500  0.01
O: 0.000 0.000 0.000  0.06
Fe: 0.000 0.500 0.000  3.65